(1)
The following is a PBE calculation of a relaxed structure of Er4OsAu, from Alexandria.

Computed properties:
Its volume is 160.1 Å³ per cell. For the total energy, the calculation gives -5.86 eV per atom. The energy above the most stable polymorph in this dataset is 89.6 meV/atom. The total magnetic moment is 0.00 μB per cell.

a = 4.8225 Å, b = 4.8231 Å, c = 6.8852 Å
α = 89.96°, β = 89.98°, γ = 90.00°
Last column: nearest neighbours and their distance in Å.
Atoms (fractional coordinates):
Er 0.5011 0.9969 0.2605  2 Os 2.91-2.92, 2 Au 3.01
Er 0.5015 0.9977 0.7358  2 Os 2.91-2.92, 2 Au 3.01
Er 0.0015 0.4977 0.7358  2 Os 2.91-2.92, 2 Au 3.01
Er 0.0011 0.4969 0.2605  2 Os 2.91-2.92, 2 Au 3.01
Os 0.0013 0.9972 0.4981  8 Er 2.91-2.92
Au 0.5013 0.4973 0.9981  8 Er 3.01



(2)
The following is a PBE calculation of a relaxed structure of MoAsP2, from Alexandria.

Computed properties:
Its volume is 60.3 Å³ per cell. For the total energy, the calculation gives -6.23 eV per atom. The total magnetic moment is 0.00 μB per cell.

a = 4.7844 Å, b = 4.7844 Å, c = 4.7844 Å
α = 138.14°, β = 122.38°, γ = 73.72°
Last column: nearest neighbours and their distance in Å.
Atoms (fractional coordinates):
As 0.7500 0.2500 0.5000  4 P 2.45
Mo 0.2500 0.7500 0.5000  8 P 2.68-2.90, 4 As 2.87
P 0.9802 0.9802 0.0000  2 As 2.45, 2 Mo 2.68
P 0.5198 0.5198 0.0000  2 As 2.45, 2 Mo 2.68



(3)
The following is a PBE calculation of a relaxed structure of Mg2FeTe, from Alexandria.

Computed properties:
Its volume is 83.7 Å³ per cell. Its uncorrected formation energy is 240 meV/atom. For the total energy, the calculation gives -3.46 eV per atom. The total magnetic moment is 2.53 μB per cell.

a = 9.2989 Å, b = 9.2989 Å, c = 9.2989 Å
α = 20.18°, β = 20.18°, γ = 20.18°
Last column: nearest neighbours and their distance in Å.
Atoms (fractional coordinates):
Fe 0.7500 0.7500 0.7500  6 Mg 2.76
Mg 0.0096 0.0096 0.0096  3 Fe 2.76
Mg 0.4904 0.4904 0.4904  3 Fe 2.76
Te 0.2500 0.2500 0.2500  6 Mg 3.16, 6 Te 3.26



(4)
The following is a PBE calculation of a relaxed structure of NdInAs2O8, from Alexandria.

Computed properties:
Its volume is 147.4 Å³ per cell. Its uncorrected formation energy is -1797 meV/atom. For the total energy, the calculation gives -6.50 eV per atom. The total magnetic moment is 0.00 μB per cell.

a = 5.0455 Å, b = 5.0455 Å, c = 6.8020 Å
α = 111.77°, β = 111.77°, γ = 90.00°
Last column: nearest neighbours and their distance in Å.
Atoms (fractional coordinates):
Nd 0.7500 0.2500 0.5000  8 O 2.38-2.51
In 0.0000 0.0000 0.0000  8 O 2.30-2.44
As 0.5000 0.5000 0.0000  4 O 1.74
As 0.2500 0.7500 0.5000  4 O 1.73
O 0.7334 0.8283 0.1502  1 As 1.74
O 0.4168 0.3220 0.1502  1 As 1.74
O 0.5810 0.6866 0.6607  1 As 1.73
O 0.0796 0.9740 0.6607  1 As 1.73
O 0.0260 0.4190 0.3393  1 As 1.73
O 0.3134 0.9204 0.3393  1 As 1.73
O 0.1717 0.5832 0.8498  1 As 1.74
O 0.6780 0.2666 0.8498  1 As 1.74



(5)
The following is a PBE calculation of a relaxed structure of BaZrPaN3, from Alexandria.

Computed properties:
Its volume is 250.7 Å³ per cell. Its uncorrected formation energy is -1150 meV/atom. For the total energy, the calculation gives -8.64 eV per atom. The total magnetic moment is 0.28 μB per cell.

a = 3.4886 Å, b = 6.8957 Å, c = 10.5208 Å
α = 97.86°, β = 90.00°, γ = 90.00°
Last column: nearest neighbours and their distance in Å.
Atoms (fractional coordinates):
Ba 0.7500 0.8014 0.7626  6 N 2.97-2.98
Ba 0.2500 0.1986 0.2374  6 N 2.97-2.98
Zr 0.2500 0.1673 0.5797  4 N 2.14-2.20
Zr 0.7500 0.8327 0.4203  4 N 2.14-2.20
Pa 0.2500 0.6674 0.1190  5 N 2.26-2.33
Pa 0.7500 0.3326 0.8810  5 N 2.26-2.33
N 0.2500 0.8550 0.5401  3 Zr 2.14
N 0.7500 0.8445 0.2125  1 Zr 2.20, 2 Pa 2.27
N 0.7500 0.4410 0.0936  3 Pa 2.26-2.33
N 0.7500 0.1450 0.4599  3 Zr 2.14
N 0.2500 0.5590 0.9064  3 Pa 2.26-2.33
N 0.2500 0.1555 0.7875  1 Zr 2.20, 2 Pa 2.27



(6)
The following is a PBE calculation of a relaxed structure of NaCaHfMoPd, from Alexandria.

Computed properties:
Its volume is 111.1 Å³ per cell. For the total energy, the calculation gives -5.65 eV per atom. The energy above the most stable polymorph in this dataset is 168.1 meV/atom. The total magnetic moment is 0.00 μB per cell.

a = 3.0510 Å, b = 5.4125 Å, c = 7.2535 Å
α = 78.69°, β = 77.89°, γ = 73.55°
Last column: nearest neighbours and their distance in Å.
Atoms (fractional coordinates):
Na 0.4465 0.0608 0.8261  3 Pd 2.98-3.04, 2 Na 3.05, 1 Ca 3.16, 2 Mo 3.21, 1 Hf 3.32
Ca 0.2918 0.6192 0.5802  2 Ca 3.05, 2 Mo 3.12, 1 Na 3.16, 2 Pd 3.18-3.19
Hf 0.1564 0.1998 0.2680  3 Mo 2.79-2.95, 2 Pd 2.83, 2 Hf 3.05
Mo 0.9056 0.7737 0.1969  2 Pd 2.74, 3 Hf 2.79-2.95, 2 Mo 3.05
Pd 0.6545 0.4946 0.9773  2 Mo 2.74, 2 Hf 2.83, 3 Na 2.98-3.04, 2 Pd 3.05



(7)
The following is a PBE calculation of a relaxed structure of K2TeMo, from Alexandria.

Computed properties:
Its volume is 122.9 Å³ per cell. Its uncorrected formation energy is 594 meV/atom. For the total energy, the calculation gives -3.45 eV per atom. The total magnetic moment is 3.97 μB per cell.

a = 6.4563 Å, b = 6.4563 Å, c = 6.4563 Å
α = 137.15°, β = 137.21°, γ = 62.16°
Last column: nearest neighbours and their distance in Å.
Atoms (fractional coordinates):
K 0.0002 0.0002 0.0000  4 K 3.33, 4 Mo 3.63-3.64, 4 Te 3.63
K 0.4998 0.4998 0.0000  4 K 3.33, 4 Mo 3.63-3.64, 4 Te 3.63
Mo 0.7500 0.2500 0.5000  4 Te 3.33, 8 K 3.63-3.64
Te 0.2500 0.7500 0.5000  4 Mo 3.33, 8 K 3.63



(8)
The following is a PBE calculation of a relaxed structure of U4TlS8, from Alexandria.

Computed properties:
Its volume is 431.1 Å³ per cell. Its uncorrected formation energy is -1277 meV/atom. For the total energy, the calculation gives -7.47 eV per atom. The energy above the most stable polymorph in this dataset is 0.0 meV/atom. The total magnetic moment is 9.00 μB per cell.

a = 8.0041 Å, b = 8.0041 Å, c = 8.7382 Å
α = 102.81°, β = 103.70°, γ = 119.96°
Last column: nearest neighbours and their distance in Å.
Atoms (fractional coordinates):
U 0.2483 0.2483 0.0000  6 S 2.70-2.72
U 0.7517 0.7517 0.0000  6 S 2.70-2.72
U 0.2571 0.7582 0.0153  6 S 2.69-2.72
U 0.7429 0.2418 0.9847  6 S 2.69-2.72
Tl 0.0000 0.5000 0.5000  6 S 3.35-3.36
S 0.6841 0.0164 0.1832  3 U 2.71-2.72
S 0.1668 0.4991 0.1832  3 U 2.71-2.72
S 0.6760 0.5008 0.1768  3 U 2.72
S 0.1747 0.0113 0.1860  3 U 2.69-2.70
S 0.8253 0.9887 0.8140  3 U 2.69-2.70
S 0.3240 0.4992 0.8232  3 U 2.72
S 0.8332 0.5009 0.8168  3 U 2.71-2.72
S 0.3159 0.9836 0.8168  3 U 2.71-2.72



(9)
The following is a PBE calculation of a relaxed structure of RbPmMnTe3, from Alexandria.

Computed properties:
Its volume is 465.3 Å³ per cell. Its uncorrected formation energy is -980 meV/atom. For the total energy, the calculation gives -5.03 eV per atom. The total magnetic moment is 10.01 μB per cell.

a = 4.5624 Å, b = 10.0575 Å, c = 10.7137 Å
α = 108.82°, β = 90.00°, γ = 90.00°
Last column: nearest neighbours and their distance in Å.
Atoms (fractional coordinates):
Rb 0.2500 0.2091 0.2393  7 Te 3.71-3.92
Rb 0.7500 0.7909 0.7607  7 Te 3.71-3.92
Pm 0.2500 0.6709 0.1396  6 Te 3.12-3.30
Pm 0.7500 0.3291 0.8604  6 Te 3.12-3.30
Mn 0.2500 0.0851 0.6063  4 Te 2.67-2.81
Mn 0.7500 0.9149 0.3937  4 Te 2.67-2.81
Te 0.7500 0.8918 0.1379  1 Mn 2.67
Te 0.2500 0.1082 0.8621  1 Mn 2.67
Te 0.2500 0.7966 0.4644  3 Mn 2.79-2.81
Te 0.7500 0.2034 0.5356  3 Mn 2.79-2.81
Te 0.7500 0.4659 0.1669  3 Pm 3.12-3.15
Te 0.2500 0.5341 0.8331  3 Pm 3.12-3.15



(10)
The following is a PBE calculation of a relaxed structure of CaY2MgCu, from Alexandria.

Computed properties:
Its volume is 150.2 Å³ per cell. For the total energy, the calculation gives -4.06 eV per atom. The total magnetic moment is 0.00 μB per cell.

a = 5.4368 Å, b = 5.4368 Å, c = 5.0802 Å
α = 90.00°, β = 90.00°, γ = 90.00°
Last column: nearest neighbours and their distance in Å.
Atoms (fractional coordinates):
Y 0.0000 0.5000 0.0000  2 Cu 2.72
Y 0.5000 0.0000 0.0000  2 Cu 2.72
Ca 0.5000 0.5000 0.5000  8 Y 3.72, 4 Mg 3.84
Mg 0.0000 0.0000 0.5000  2 Cu 2.54
Cu 0.0000 0.0000 0.0000  2 Mg 2.54, 4 Y 2.72



(11)
The following is a PBE calculation of a relaxed structure of YZn2Ga, from Alexandria.

Computed properties:
Its volume is 159.5 Å³ per cell. For the total energy, the calculation gives -3.35 eV per atom. The total magnetic moment is 0.00 μB per cell.

a = 4.0831 Å, b = 4.0831 Å, c = 9.5645 Å
α = 90.00°, β = 90.00°, γ = 90.00°
Last column: nearest neighbours and their distance in Å.
Atoms (fractional coordinates):
Y 0.5000 0.0000 0.2463  5 Zn 2.95-3.17, 4 Ga 3.00
Y 0.0000 0.5000 0.7537  5 Zn 2.95-3.17, 4 Ga 3.00
Zn 0.5000 0.0000 0.9374  1 Ga 2.58
Zn 0.0000 0.5000 0.0626  1 Ga 2.58
Zn 0.0000 0.0000 0.5000  4 Ga 2.59, 4 Zn 2.89
Zn 0.5000 0.5000 0.5000  4 Ga 2.59, 4 Zn 2.89
Ga 0.5000 0.0000 0.6675  5 Zn 2.58-2.59
Ga 0.0000 0.5000 0.3325  5 Zn 2.58-2.59



(12)
The following is a PBE calculation of a relaxed structure of BaSr3Zn, from Alexandria.

Computed properties:
Its volume is 339.6 Å³ per cell. For the total energy, the calculation gives -0.74 eV per atom. The energy above the most stable polymorph in this dataset is 932.9 meV/atom. The total magnetic moment is 3.80 μB per cell.

a = 6.9768 Å, b = 6.9768 Å, c = 6.9768 Å
α = 90.00°, β = 90.00°, γ = 90.00°
Last column: nearest neighbours and their distance in Å.
Atoms (fractional coordinates):
Sr 0.0000 0.5000 0.0000  2 Ba 3.49
Sr 0.0000 0.0000 0.5000  2 Ba 3.49
Sr 0.5000 0.0000 0.0000  2 Ba 3.49
Zn 0.5000 0.5000 0.5000  12 Sr 4.93
Ba 0.0000 0.0000 0.0000  6 Sr 3.49